Record 1
KZrTl: optimized geometry, PBE.

Summary:
SG	P6_3/mmc, No. 194
ρ	3.436	g/cm3
offset from the most stable computed form	3.869	eV per formula unit
uncorrected energy	-2.691	eV/atom
formation enthalpy at 0 K	1.313	eV per atom

Cell lengths 5.758, 5.758, 11.269 Å; angles 90.00, 90.00, 120.00 degrees
Element x y z (fractional)
K 0.333 0.667 0.250
K 0.667 0.333 0.750
Zr 0.000 0.000 0.000
Zr 0.000 0.000 0.500
Tl 0.000 0.000 0.250
Tl 0.000 0.000 0.750

Record 2
Cs3Er2MgS6: optimized geometry, PBE.

Summary:
SG	C2/m, No. 12
ρ	4.645	g/cm3
uncorrected energy	-4.668	eV/atom
uncorrected formation energy	-1.50	eV per atom

Cell lengths 6.997, 6.997, 8.343 Å; angles 98.04, 98.04, 120.00 degrees
Element x y z (fractional)
Cs 0.000 0.000 0.000
Cs 0.334 0.666 0.000
Cs 0.666 0.334 0.000
Er 0.167 0.833 0.500
Er 0.833 0.167 0.500
Mg 0.500 0.500 0.500
S 0.110 0.441 0.322
S 0.229 0.229 0.678
S 0.441 0.110 0.322
S 0.559 0.890 0.678
S 0.771 0.771 0.322
S 0.890 0.559 0.678

Record 3
TlSiIr4: optimized geometry, PBE.

Summary:
SG	F-43m, No. 216
ρ	15.995	g/cm3
uncorrected energy	-6.602	eV/atom
uncorrected formation energy	0.60	eV per atom

Cell lengths 5.278, 5.278, 5.278 Å; angles 60.00, 60.00, 60.00 degrees
Element x y z (fractional)
Tl 0.000 0.000 0.000
Si 0.250 0.250 0.250
Ir 0.126 0.625 0.625
Ir 0.625 0.126 0.625
Ir 0.625 0.625 0.126
Ir 0.625 0.625 0.625

Record 4
Cd4Au5: optimized geometry, PBE.

Summary:
SG	Immm, No. 71
ρ	13.739	g/cm3
offset from the most stable computed form	0.218	eV per formula unit
uncorrected energy	-2.361	eV/atom
formation enthalpy at 0 K	-0.134	eV per atom

Cell lengths 6.984, 6.984, 6.984 Å; angles 148.01, 96.37, 92.35 degrees
Element x y z (fractional)
Cd 0.004 0.837 0.167
Cd 0.330 0.163 0.167
Cd 0.670 0.837 0.833
Cd 0.996 0.163 0.833
Au 0.000 0.500 0.500
Au 0.329 0.829 0.500
Au 0.338 0.500 0.838
Au 0.662 0.500 0.162
Au 0.671 0.171 0.500

Record 5
AlTlCd: optimized geometry, PBE.

Summary:
SG	P4/nmm, No. 129
ρ	7.769	g/cm3
uncorrected energy	-2.194	eV/atom
formation enthalpy at 0 K	0.147	eV per atom

Cell lengths 4.219, 4.219, 8.255 Å; angles 90.00, 90.00, 90.00 degrees
Element x y z (fractional)
Al 0.250 0.750 0.000
Al 0.750 0.250 0.000
Tl 0.250 0.250 0.369
Tl 0.750 0.750 0.631
Cd 0.250 0.250 0.764
Cd 0.750 0.750 0.236

Record 6
BeAuSN2: optimized geometry, PBE.

Summary:
SG	P4/mmm, No. 123
ρ	4.036	g/cm3
offset from the most stable computed form	3.635	eV per formula unit
uncorrected energy	-3.662	eV/atom
uncorrected formation energy	1.89	eV per atom

Cell lengths 3.723, 3.723, 7.898 Å; angles 90.00, 90.00, 90.00 degrees
Element x y z (fractional)
Be 0.000 0.000 0.000
Au 0.500 0.500 0.500
S 0.500 0.500 0.000
N 0.000 0.500 0.500
N 0.500 0.000 0.500

Record 7
Ce3DyTh2Sb6: optimized geometry, PBE.

Summary:
SG	C2/m, No. 12
ρ	7.694	g/cm3
uncorrected energy	-6.192	eV/atom
uncorrected formation energy	-1.03	eV per atom

Cell lengths 7.757, 7.757, 7.804 Å; angles 99.55, 99.55, 120.01 degrees
Element x y z (fractional)
Ce 0.000 0.000 0.000
Ce 0.331 0.669 0.000
Ce 0.669 0.331 0.000
Dy 0.500 0.500 0.500
Th 0.166 0.834 0.500
Th 0.834 0.166 0.500
Sb 0.089 0.418 0.253
Sb 0.255 0.255 0.750
Sb 0.418 0.089 0.253
Sb 0.582 0.911 0.747
Sb 0.745 0.745 0.250
Sb 0.911 0.582 0.747